<a>
The following is a PBE calculation of a relaxed structure of Nb3AlCd, from Alexandria via LeMat-Bulk.

Lattice parameters (Å, degrees): 4.7547 4.7547 4.7547 90.00 90.00 90.00
Fractional coordinates of all 5 atoms:
Nb 0.0000 0.0000 0.5000
Nb 0.0000 0.5000 0.0000
Nb 0.5000 0.0000 0.0000
Al 0.0000 0.0000 0.0000
Cd 0.5000 0.5000 0.5000

The value obtained for the theoretical density is 6.459 g cm⁻³. The density of states at the Fermi level comes out at 0.7 states/eV/cell. As for the spin magnetization: 0.000 μB/atom. Its space group is No. 221.

=====

<b>
The following is a PBE calculation of a relaxed structure of Nb3AlCd, from Alexandria via LeMat-Bulk.

Lattice parameters (Å, degrees): 4.9670 4.9670 4.9670 90.00 90.00 90.00
Fractional coordinates of all 5 atoms:
Nb 0.0000 0.0000 0.5000
Nb 0.0000 0.5000 0.0000
Nb 0.5000 0.0000 0.0000
Al 0.5000 0.5000 0.5000
Cd 0.0000 0.0000 0.0000

The value obtained for the theoretical density is 5.666 g cm⁻³. The density of states at the Fermi level comes out at 1.8 states/eV/cell. As for the spin magnetization: 0.000 μB/atom. Its space group is No. 221.

=====

Relative energies with respect to the most stable structure, expressed in eV/atom: <a> 0.000; <b> 0.800.

=====

<a>
The following is a PBE calculation of a relaxed structure of Nd4AlCd3, from Alexandria via LeMat-Bulk.

Lattice parameters (Å, degrees): 3.7855 3.7855 15.6322 90.00 90.00 90.00
Fractional coordinates of all 8 atoms:
Nd 0.0000 0.0000 0.1162
Nd 0.0000 0.0000 0.3719
Nd 0.0000 0.0000 0.6281
Nd 0.0000 0.0000 0.8838
Al 0.5000 0.5000 0.0000
Cd 0.5000 0.5000 0.2455
Cd 0.5000 0.5000 0.5000
Cd 0.5000 0.5000 0.7545

The value obtained for the theoretical density is 6.977 g cm⁻³. The density of states at the Fermi level comes out at 8.6 states/eV/cell. As for the spin magnetization: 0.088 μB/atom. Its space group is No. 123.

=====

<b>
The following is a PBE calculation of a relaxed structure of Nd4AlCd3, from Alexandria via LeMat-Bulk.

Lattice parameters (Å, degrees): 3.6628 4.9122 12.5267 90.00 90.00 90.00
Fractional coordinates of all 8 atoms:
Nd 0.0000 0.0000 0.0000
Nd 0.0000 0.5000 0.3106
Nd 0.5000 0.0000 0.4896
Nd 0.5000 0.5000 0.8154
Al 0.5000 0.0000 0.2243
Cd 0.0000 0.0000 0.7232
Cd 0.0000 0.5000 0.5848
Cd 0.5000 0.5000 0.0891

The value obtained for the theoretical density is 6.934 g cm⁻³. The density of states at the Fermi level comes out at 6.6 states/eV/cell. As for the spin magnetization: 0.000 μB/atom. Its space group is No. 25.

=====

Relative energies with respect to the most stable structure, expressed in eV/atom: <a> 0.000; <b> 0.047.

=====

<a>
The following is a PBE calculation of a relaxed structure of Nd3AlCd, from Alexandria via LeMat-Bulk.

Lattice parameters (Å, degrees): 10.3733 10.3733 5.3943 90.00 90.00 149.96
Fractional coordinates of all 10 atoms:
Nd 0.0601 0.9399 0.7500
Nd 0.2479 0.7521 0.7500
Nd 0.4333 0.5667 0.7500
Nd 0.5667 0.4333 0.2500
Nd 0.7521 0.2479 0.2500
Nd 0.9399 0.0601 0.2500
Al 0.1555 0.8445 0.2500
Al 0.8445 0.1555 0.7500
Cd 0.3445 0.6555 0.2500
Cd 0.6555 0.3445 0.7500

The value obtained for the theoretical density is 6.538 g cm⁻³. The density of states at the Fermi level comes out at 12.1 states/eV/cell. As for the spin magnetization: 0.000 μB/atom. Its space group is No. 63.

=====

<b>
The following is a PBE calculation of a relaxed structure of Nd3AlCd, from Alexandria via LeMat-Bulk.

Lattice parameters (Å, degrees): 4.8580 7.0176 9.3160 90.00 90.00 90.00
Fractional coordinates of all 10 atoms:
Nd 0.2500 0.0095 0.2180
Nd 0.2500 0.2500 0.5658
Nd 0.2500 0.4905 0.2180
Nd 0.7500 0.5095 0.7820
Nd 0.7500 0.7500 0.4342
Nd 0.7500 0.9905 0.7820
Al 0.2500 0.7500 0.6341
Al 0.7500 0.2500 0.3659
Cd 0.2500 0.2500 0.9195
Cd 0.7500 0.7500 0.0805

The value obtained for the theoretical density is 5.983 g cm⁻³. The density of states at the Fermi level comes out at 9.5 states/eV/cell. As for the spin magnetization: 0.000 μB/atom. Its space group is No. 59.

=====

Relative energies with respect to the most stable structure, expressed in eV/atom: <a> 0.000; <b> 0.152.

=====

<a>
The following is a PBE calculation of a relaxed structure of PrNdAlCd, from Alexandria via LeMat-Bulk.

Lattice parameters (Å, degrees): 3.6481 3.6481 8.2532 90.00 90.00 90.00
Fractional coordinates of all 4 atoms:
Pr 0.0000 0.0000 0.0000
Nd 0.0000 0.0000 0.4731
Al 0.5000 0.5000 0.2388
Cd 0.5000 0.5000 0.7332

The value obtained for the theoretical density is 6.418 g cm⁻³. The density of states at the Fermi level comes out at 2.2 states/eV/cell. As for the spin magnetization: 0.000 μB/atom. Its space group is No. 99.

=====

<b>
The following is a PBE calculation of a relaxed structure of PrNdAlCd, from Alexandria via LeMat-Bulk.

Lattice parameters (Å, degrees): 5.3944 5.3944 5.3944 60.00 60.00 60.00
Fractional coordinates of all 4 atoms:
Pr 0.0000 0.0000 0.0000
Nd 0.5000 0.5000 0.5000
Al 0.7500 0.7500 0.7500
Cd 0.2500 0.2500 0.2500

The value obtained for the theoretical density is 6.351 g cm⁻³. The density of states at the Fermi level comes out at 4.6 states/eV/cell. As for the spin magnetization: 0.000 μB/atom. Its space group is No. 216.

=====

Relative energies with respect to the most stable structure, expressed in eV/atom: <a> 0.000; <b> 0.015.